[1]
Density functional theory data (GGA-PBE) for a geometry-optimized PmHo8Tm6 structure.

Results
E_form: 2.07 eV per formula unit
D(E_F): 1.52 states/eV per atom

Cell lengths 8.9362, 8.9362, 20.4107 Å; angles 90.00, 90.00, 120.00 degrees
Closest atoms and distances in Å follow each position.
Space group R-3 (No. 148, hexagonal axes)
Symmetry-distinct sites (fractional):
Pm1 0.0000 0.0000 0.0000  6 Tm 3.41, 6 Ho 3.49
Ho1 0.0000 0.0000 0.4235  4 Ho 3.12-3.38, 3 Tm 3.31
Ho2 0.0812 0.5284 0.8085  5 Ho 3.37-3.38, 3 Tm 3.37-3.73, 1 Pm 3.49
Tm1 0.0598 0.8147 0.7069  3 Ho 3.31-3.37, 1 Pm 3.41, 4 Tm 3.43-3.69


[2]
Density functional theory data (GGA-PBE) for a geometry-optimized PmHo8Tm6 structure.

Results
E_form: 3.51 eV per formula unit
D(E_F): 1.44 states/eV per atom

Cell lengths 9.3270, 9.3270, 6.4423 Å; angles 90.00, 90.00, 120.00 degrees
Closest atoms and distances in Å follow each position.
Space group P-3 (No. 147)
Symmetry-distinct sites (fractional):
Pm1 0.0000 0.0000 0.0000  6 Tm 3.56
Ho1 0.0257 0.6867 0.5954  4 Tm 3.19-3.54, 5 Ho 3.29-3.49
Ho2 0.3333 0.6667 0.3273  6 Ho 3.36-3.43, 3 Tm 3.53
Tm1 0.0953 0.4152 0.9088  1 Tm 3.14, 3 Ho 3.19-3.41


[3]
Density functional theory data (GGA-PBE) for a geometry-optimized Pm6Ho8Tm structure.

Results
E_form: 1.80 eV per formula unit
D(E_F): 1.44 states/eV per atom

Cell lengths 9.0714, 9.0714, 20.7413 Å; angles 90.00, 90.00, 120.00 degrees
Closest atoms and distances in Å follow each position.
Space group R-3 (No. 148, hexagonal axes)
Symmetry-distinct sites (fractional):
Pm1 0.0629 0.8140 0.2099  4 Ho 3.37-3.70, 1 Tm 3.45, 2 Pm 3.52
Ho1 0.0000 0.0000 0.0769  4 Ho 3.19-3.43, 3 Pm 3.43
Ho2 0.0813 0.5265 0.3072  3 Pm 3.37-3.70, 5 Ho 3.43-3.44, 1 Tm 3.53
Tm1 0.0000 0.0000 0.5000  6 Pm 3.45, 6 Ho 3.53


[4]
Density functional theory data (GGA-PBE) for a geometry-optimized Pm8HoTm2 structure.

Results
E_form: 1.99 eV per formula unit
D(E_F): 1.65 states/eV per atom

Cell lengths 18.2627, 6.7722, 6.1831 Å; angles 90.00, 104.79, 90.00 degrees
Closest atoms and distances in Å follow each position.
Space group C2/m (No. 12)
Symmetry-distinct sites (fractional):
Pm1 0.0336 0.0000 0.2798  4 Pm 3.26-3.58, 1 Tm 3.39
Pm2 0.1004 0.5000 0.5161  1 Ho 3.25, 3 Pm 3.39-3.62, 1 Tm 3.39
Pm3 0.1576 0.2344 0.9935  3 Pm 3.18-3.39, 1 Ho 3.40
Ho1 0.0000 0.5000 0.0000  6 Pm 3.25-3.40
Tm1 0.2207 0.0000 0.5469  8 Pm 3.39-3.68, 2 Tm 3.64


[5]
Density functional theory data (GGA-PBE) for a geometry-optimized Pm3Ho3Tm8 structure.

Results
E_form: 1.58 eV per formula unit
D(E_F): 1.67 states/eV per atom

Cell lengths 5.5822, 10.7169, 14.8893 Å; angles 90.00, 90.00, 90.00 degrees
Closest atoms and distances in Å follow each position.
Space group Immm (No. 71)
Symmetry-distinct sites (fractional):
Pm1 0.0000 0.0000 0.0000  4 Ho 3.55, 4 Pm 3.91
Pm2 0.0000 0.5000 0.3162  2 Ho 3.50, 8 Tm 3.57-3.68, 2 Pm 3.91
Ho1 0.0000 0.0000 0.5000  2 Ho 3.17
Ho2 0.0000 0.2958 0.5000  1 Ho 3.17, 4 Pm 3.50-3.55, 4 Tm 3.51
Tm1 0.0000 0.1606 0.2793  6 Tm 3.27-3.50, 2 Pm 3.57, 1 Ho 3.59
Tm2 0.0000 0.3428 0.1029  5 Tm 3.06-3.37


[6]
Density functional theory data (GGA-PBE) for a geometry-optimized Pm3Ho2Tm structure.

Results
E_form: 0.16 eV per formula unit
D(E_F): 1.67 states/eV per atom

Cell lengths 13.1155, 3.6010, 16.9721 Å; angles 90.00, 100.60, 90.00 degrees
Closest atoms and distances in Å follow each position.
Space group C2/m (No. 12)
Symmetry-distinct sites (fractional):
Pm1 0.0219 0.0000 0.1721  3 Ho 3.49-3.55, 8 Pm 3.60-3.86, 2 Tm 3.66
Pm2 0.0534 0.5000 0.6500  5 Ho 3.37-3.63, 3 Tm 3.52-3.58, 2 Pm 3.60
Pm3 0.1345 0.5000 0.0125  3 Ho 3.43-3.53, 7 Pm 3.48-3.77
Ho1 0.1340 0.0000 0.4863  5 Ho 3.49-3.63, 3 Tm 3.51-3.57, 4 Pm 3.54-3.63
Ho2 0.2122 0.5000 0.8303  7 Pm 3.37-3.55, 2 Tm 3.49, 2 Ho 3.60
Tm1 0.2065 0.5000 0.3233  5 Ho 3.49-3.57, 5 Pm 3.52-3.66, 2 Tm 3.60


[7]
Density functional theory data (GGA-PBE) for a geometry-optimized PmHoTm6 structure.

Results
E_form: 1.03 eV per formula unit
D(E_F): 2.04 states/eV per atom

Cell lengths 7.3744, 11.5927, 5.7893 Å; angles 90.00, 90.00, 90.00 degrees
Closest atoms and distances in Å follow each position.
Space group Cmmm (No. 65)
Symmetry-distinct sites (fractional):
Pm1 0.0000 0.0000 0.0000  8 Tm 3.43-3.46, 2 Ho 3.69
Ho1 0.0000 0.5000 0.0000  8 Tm 3.40-3.43, 2 Pm 3.69
Tm1 0.0000 0.2463 0.5000  10 Tm 3.43-3.69
Tm2 0.2424 0.5000 0.5000  2 Ho 3.40, 6 Tm 3.43-3.80, 2 Pm 3.46
Tm3 0.2500 0.2500 0.0000  6 Tm 3.43-3.69, 2 Pm 3.43, 2 Ho 3.43


[8]
Density functional theory data (GGA-PBE) for a geometry-optimized Pm3HoTm7 structure.

Results
E_form: 2.00 eV per formula unit
D(E_F): 1.51 states/eV per atom

Cell lengths 6.9942, 6.9942, 8.5909 Å; angles 90.00, 90.00, 120.00 degrees
Closest atoms and distances in Å follow each position.
Space group P3m1 (No. 156)
Symmetry-distinct sites (fractional):
Pm1 0.9999 0.4999 0.0000  4 Pm 3.50, 5 Tm 3.53-3.54, 1 Ho 3.54
Ho1 0.3333 0.6667 0.6615  9 Tm 3.43-3.50, 3 Pm 3.54
Tm1 0.1674 0.3349 0.3379  1 Ho 3.43, 8 Tm 3.44-3.51, 2 Pm 3.53
Tm2 0.3350 0.1675 0.6612  7 Tm 3.43-3.51, 2 Ho 3.50, 2 Pm 3.54
Tm3 0.6667 0.3333 0.3382  9 Tm 3.43-3.50, 3 Pm 3.54


[9]
Density functional theory data (GGA-PBE) for a geometry-optimized Pm3Ho2Tm4 structure.

Results
E_form: 0.20 eV per formula unit
D(E_F): 1.34 states/eV per atom

Cell lengths 17.1246, 3.5398, 9.6485 Å; angles 90.00, 101.27, 90.00 degrees
Closest atoms and distances in Å follow each position.
Space group C2/m (No. 12)
Symmetry-distinct sites (fractional):
Pm1 0.0000 0.0000 0.0000  6 Tm 3.41-3.57, 4 Ho 3.53, 2 Pm 3.54
Pm2 0.1531 0.0000 0.5870  7 Tm 3.48-3.64, 2 Pm 3.54, 2 Ho 3.66
Ho1 0.1642 0.5000 0.9220  4 Tm 3.38-3.52, 4 Ho 3.51-3.54, 4 Pm 3.53-3.66
Tm1 0.0164 0.5000 0.3254  5 Tm 3.50-3.54, 1 Ho 3.52, 6 Pm 3.56-3.64
Tm2 0.1760 0.0000 0.2363  3 Ho 3.38-3.48, 4 Pm 3.41-3.56, 4 Tm 3.50-3.54


[10]
Density functional theory data (GGA-PBE) for a geometry-optimized Pm3Ho4Tm structure.

Results
E_form: 0.02 eV per formula unit
D(E_F): 1.30 states/eV per atom

Cell lengths 11.5347, 6.1953, 7.1680 Å; angles 90.00, 90.00, 90.00 degrees
Closest atoms and distances in Å follow each position.
Space group Pmn2_1 (No. 31)
Symmetry-distinct sites (fractional):
Pm1 0.0000 0.1674 0.0000  8 Ho 3.55-3.59, 2 Pm 3.56, 2 Tm 3.58
Pm2 0.2487 0.4979 0.5000  7 Ho 3.53-3.59, 2 Tm 3.54-3.56, 3 Pm 3.56-3.58
Ho1 0.0000 0.1666 0.5007  4 Pm 3.53-3.59, 6 Ho 3.55-3.58, 2 Tm 3.57
Ho2 0.0000 0.6668 0.2512  6 Pm 3.54-3.59, 4 Ho 3.55-3.58, 2 Tm 3.57-3.60
Ho3 0.2501 0.0002 0.2502  1 Tm 3.54, 5 Ho 3.55-3.58, 6 Pm 3.55-3.59
Tm1 0.0000 0.6670 0.7489  6 Pm 3.54-3.58, 6 Ho 3.54-3.60


[11]
Density functional theory data (GGA-PBE) for a geometry-optimized PmHoTm2 structure.

Results
E_form: 0.06 eV per formula unit
D(E_F): 1.67 states/eV per atom

Cell lengths 3.6192, 11.2549, 6.2379 Å; angles 90.00, 90.00, 90.00 degrees
Closest atoms and distances in Å follow each position.
Space group Imm2 (No. 44)
Symmetry-distinct sites (fractional):
Pm1 0.0000 0.0000 0.0000  6 Tm 3.49-3.51, 4 Ho 3.59-3.62, 2 Pm 3.62
Ho1 0.0000 0.5000 0.9972  6 Tm 3.49-3.51, 4 Pm 3.59-3.62, 2 Ho 3.62
Tm1 0.0000 0.2485 0.6642  3 Ho 3.49-3.51, 3 Pm 3.49-3.51, 6 Tm 3.61-3.62


[12]
Density functional theory data (GGA-PBE) for a geometry-optimized Pm5HoTm6 structure.

Results
E_form: 0.25 eV per formula unit
D(E_F): 1.35 states/eV per atom

Cell lengths 5.0532, 9.9655, 15.1611 Å; angles 90.00, 90.00, 90.00 degrees
Closest atoms and distances in Å follow each position.
Space group Immm (No. 71)
Symmetry-distinct sites (fractional):
Pm1 0.0000 0.0000 0.0000  8 Tm 3.55-3.56, 4 Pm 3.57
Pm2 0.0000 0.0000 0.3346  8 Tm 3.53-3.57, 2 Ho 3.56, 2 Pm 3.59
Pm3 0.0000 0.5000 0.3333  8 Tm 3.55-3.56, 4 Pm 3.57-3.59
Ho1 0.0000 0.5000 0.0000  8 Tm 3.54, 4 Pm 3.56
Tm1 0.0000 0.2488 0.5000  6 Pm 3.53-3.56, 2 Ho 3.54, 4 Tm 3.57
Tm2 0.0000 0.2506 0.1663  1 Ho 3.54, 7 Pm 3.54-3.57, 4 Tm 3.57-3.58